# 1
The following is a PBE-GGA calculation of crystalline Mg6Cd12Ru at its relaxed geometry, from the Alexandria database.

Its calculated formation energy is -0.09 eV/atom. The theoretical density is 6.56 g cm⁻³. As for the total magnetic moment: 0.00 μB/f.u. Its total energy is -31.45 eV/cell.

Unit cell a=7.3961 b=7.3961 c=7.3961 alpha=91.49 beta=91.49 gamma=91.49
Closest atoms and distances in Å follow each position.
Positions (direct):
Cd 0.0436 0.3672 0.1439  1 Ru 2.90, 4 Cd 2.95-3.04, 5 Mg 3.02-3.24
Mg 0.8888 0.7348 0.2520  1 Ru 2.86, 2 Mg 3.00, 8 Cd 3.02-3.15
Cd 0.7989 0.4497 0.5281  4 Cd 2.95-3.09, 4 Mg 3.05-3.15
Cd 0.5503 0.4719 0.2011  4 Cd 2.95-3.09, 4 Mg 3.05-3.15
Mg 0.7348 0.2520 0.8888  1 Ru 2.86, 2 Mg 3.00, 8 Cd 3.02-3.15
Cd 0.6328 0.8561 0.9564  1 Ru 2.90, 4 Cd 2.95-3.04, 5 Mg 3.02-3.24
Cd 0.2011 0.5503 0.4719  4 Cd 2.95-3.09, 4 Mg 3.05-3.15
Mg 0.7480 0.1112 0.2652  1 Ru 2.86, 2 Mg 3.00, 8 Cd 3.02-3.15
Mg 0.2652 0.7480 0.1112  1 Ru 2.86, 2 Mg 3.00, 8 Cd 3.02-3.15
Cd 0.3672 0.1439 0.0436  1 Ru 2.90, 4 Cd 2.95-3.04, 5 Mg 3.02-3.24
Mg 0.2520 0.8888 0.7348  1 Ru 2.86, 2 Mg 3.00, 8 Cd 3.02-3.15
Cd 0.5281 0.7989 0.4497  4 Cd 2.95-3.09, 4 Mg 3.05-3.15
Mg 0.1112 0.2652 0.7480  1 Ru 2.86, 2 Mg 3.00, 8 Cd 3.02-3.15
Cd 0.8561 0.9564 0.6328  1 Ru 2.90, 4 Cd 2.95-3.04, 5 Mg 3.02-3.24
Cd 0.1439 0.0436 0.3672  1 Ru 2.90, 4 Cd 2.95-3.04, 5 Mg 3.02-3.24
Cd 0.4719 0.2011 0.5503  4 Cd 2.95-3.09, 4 Mg 3.05-3.15
Ru 0.0000 0.0000 0.0000  6 Mg 2.86, 6 Cd 2.90
Cd 0.4497 0.5281 0.7989  4 Cd 2.95-3.09, 4 Mg 3.05-3.15
Cd 0.9564 0.6328 0.8561  1 Ru 2.90, 4 Cd 2.95-3.04, 5 Mg 3.02-3.24

---

# 2
The following is a PBE-GGA calculation of crystalline Na2BeZnP2 at its relaxed geometry, from the Alexandria database.

Its calculated formation energy is -0.41 eV/atom. The theoretical density is 2.90 g cm⁻³. As for the total magnetic moment: 0.00 μB/f.u. Its total energy is -41.84 eV/cell.

Unit cell a=5.5452 b=5.5412 c=7.8459 alpha=110.68 beta=110.69 gamma=90.00
Closest atoms and distances in Å follow each position.
Positions (direct):
Be 0.5000 0.7500 0.0000  4 P 2.30
Zn 0.0000 0.2500 0.0000  4 P 2.48, 2 Zn 2.77
P 0.8224 0.0998 0.1996  2 Be 2.30, 2 Zn 2.48
Zn 0.0000 0.7500 0.0000  4 P 2.48, 2 Zn 2.77
Na 0.0588 0.3219 0.6438  5 P 2.90-3.04, 2 Zn 3.08, 2 Be 3.15
P 0.3773 0.5998 0.1996  2 Be 2.30, 2 Zn 2.48
P 0.6227 0.4002 0.8004  2 Be 2.30, 2 Zn 2.48
Na 0.9412 0.6781 0.3562  5 P 2.90-3.04, 2 Zn 3.08, 2 Be 3.15
Na 0.5850 0.8219 0.6438  5 P 2.90-3.04, 2 Zn 3.08, 2 Be 3.15
Be 0.5000 0.2500 0.0000  4 P 2.30
P 0.1776 0.9002 0.8004  2 Be 2.30, 2 Zn 2.48
Na 0.4150 0.1781 0.3562  5 P 2.90-3.04, 2 Zn 3.08, 2 Be 3.15

---

# 3
The following is a PBE-GGA calculation of crystalline ErSi6Pt12 at its relaxed geometry, from the Alexandria database.

The raw formation energy comes out at -0.629 eV per atom. The theoretical density is 14.35 g cm⁻³. As for the total magnetic moment: 0.00 μB/f.u. Its total energy is -121.55 eV/cell.

Unit cell a=7.1727 b=7.1727 c=7.1727 alpha=106.70 beta=106.70 gamma=106.70
Closest atoms and distances in Å follow each position.
Positions (direct):
Pt 0.5000 0.1256 0.8744  4 Si 2.45
Pt 0.5000 0.8744 0.1256  4 Si 2.45
Si 0.7399 0.3088 0.7399  7 Pt 2.45-2.57
Si 0.2601 0.6912 0.2601  7 Pt 2.45-2.57
Pt 0.4068 0.4068 0.1622  3 Si 2.52-2.57, 4 Pt 2.82
Si 0.3088 0.7399 0.7399  7 Pt 2.45-2.57
Pt 0.8744 0.1256 0.5000  4 Si 2.45
Si 0.2601 0.2601 0.6912  7 Pt 2.45-2.57
Si 0.7399 0.7399 0.3088  7 Pt 2.45-2.57
Pt 0.8744 0.5000 0.1256  4 Si 2.45
Pt 0.5932 0.5932 0.8378  3 Si 2.52-2.57, 4 Pt 2.82
Pt 0.1622 0.4068 0.4068  3 Si 2.52-2.57, 4 Pt 2.82
Pt 0.5932 0.8378 0.5932  3 Si 2.52-2.57, 4 Pt 2.82
Pt 0.8378 0.5932 0.5932  3 Si 2.52-2.57, 4 Pt 2.82
Si 0.6912 0.2601 0.2601  7 Pt 2.45-2.57
Pt 0.1256 0.8744 0.5000  4 Si 2.45
Er 0.0000 0.0000 0.0000  6 Pt 3.10
Pt 0.4068 0.1622 0.4068  3 Si 2.52-2.57, 4 Pt 2.82
Pt 0.1256 0.5000 0.8744  4 Si 2.45

---

# 4
The following is a PBE-GGA calculation of crystalline Tb2HoHg at its relaxed geometry, from the Alexandria database.

The value obtained for the energy above the most stable polymorph in this dataset is 0.0 meV per atom. Its calculated formation energy is -0.22 eV/atom. The theoretical density is 9.79 g cm⁻³. As for the total magnetic moment: 0.00 μB/f.u. Its total energy is -15.03 eV/cell.

Unit cell a=3.6048 b=3.6048 c=8.9173 alpha=90.00 beta=90.00 gamma=90.00
Closest atoms and distances in Å follow each position.
Positions (direct):
Hg 0.5000 0.5000 0.0000  8 Tb 3.24, 4 Hg 3.60
Tb 0.0000 0.0000 0.7756  4 Hg 3.24, 4 Ho 3.54, 4 Tb 3.60
Ho 0.5000 0.5000 0.5000  8 Tb 3.54, 4 Ho 3.60
Tb 0.0000 0.0000 0.2244  4 Hg 3.24, 4 Ho 3.54, 4 Tb 3.60

---

# 5
The following is a PBE-GGA calculation of crystalline ScHSN2 at its relaxed geometry, from the Alexandria database.

The value obtained for the energy above the most stable polymorph in this dataset is 534.9 meV per atom. The theoretical density is 1.88 g cm⁻³. As for the total magnetic moment: 4.14 μB/f.u. Its total energy is -24.00 eV/cell.

Unit cell a=4.2915 b=5.0908 c=4.2915 alpha=90.00 beta=90.00 gamma=90.00
Closest atoms and distances in Å follow each position.
Positions (direct):
Sc 0.0000 0.0000 0.0000  4 N 2.15
H 0.5000 0.5000 0.5000  4 S 3.03, 8 N 3.33
S 0.0000 0.5000 0.0000  2 Sc 2.55
N 0.0000 0.0000 0.5000  2 Sc 2.15
N 0.5000 0.0000 0.0000  2 Sc 2.15

---

# 6
The following is a PBE-GGA calculation of crystalline MgTa4Si at its relaxed geometry, from the Alexandria database.

The raw formation energy comes out at 0.566 eV per atom. The theoretical density is 11.03 g cm⁻³. As for the total magnetic moment: 0.00 μB/f.u. Its total energy is -51.03 eV/cell.

Unit cell a=5.4884 b=5.4884 c=5.4884 alpha=60.00 beta=60.00 gamma=60.00
Closest atoms and distances in Å follow each position.
Positions (direct):
Si 0.0000 0.0000 0.0000  12 Ta 3.22, 4 Mg 3.36
Mg 0.7500 0.7500 0.7500  12 Ta 3.22, 4 Si 3.36
Ta 0.3760 0.3760 0.3760  6 Ta 2.72-2.77
Ta 0.3760 0.8719 0.3760  6 Ta 2.72-2.77
Ta 0.8719 0.3760 0.3760  6 Ta 2.72-2.77
Ta 0.3760 0.3760 0.8719  6 Ta 2.72-2.77

---

# 7
The following is a PBE-GGA calculation of crystalline MgNpSiO6 at its relaxed geometry, from the Alexandria database.

The raw formation energy comes out at -2.584 eV per atom. The theoretical density is 6.30 g cm⁻³. As for the total magnetic moment: 1.00 μB/f.u. Its total energy is -145.92 eV/cell.

Unit cell a=5.1049 b=5.1049 c=9.0089 alpha=90.00 beta=90.00 gamma=120.00
Closest atoms and distances in Å follow each position.
Positions (direct):
Si 0.6667 0.3333 0.2500  6 O 1.82
Np 0.6667 0.3333 0.7500  6 O 2.08
Np 0.3333 0.6667 0.2500  6 O 2.08
O 0.6292 0.6685 0.6369  1 Si 1.82
Mg 0.0000 0.0000 0.5000  6 O 2.18
O 0.9607 0.3315 0.1369  1 Si 1.82
O 0.6685 0.6292 0.1369  1 Si 1.82
O 0.6292 0.9607 0.8631  1 Si 1.82
O 0.9607 0.6292 0.3631  1 Si 1.82
Si 0.3333 0.6667 0.7500  6 O 1.82
O 0.3708 0.0393 0.1369  1 Si 1.82
O 0.6685 0.0393 0.3631  1 Si 1.82
O 0.0393 0.6685 0.8631  1 Si 1.82
O 0.3708 0.3315 0.3631  1 Si 1.82
O 0.3315 0.3708 0.8631  1 Si 1.82
O 0.0393 0.3708 0.6369  1 Si 1.82
O 0.3315 0.9607 0.6369  1 Si 1.82
Mg 0.0000 0.0000 0.0000  6 O 2.18

---

# 8
The following is a PBE-GGA calculation of crystalline Ca2CrTe at its relaxed geometry, from the Alexandria database.

The raw formation energy comes out at -0.147 eV per atom. The theoretical density is 3.82 g cm⁻³. As for the total magnetic moment: 5.37 μB/f.u. Its total energy is -17.36 eV/cell.

Unit cell a=5.7138 b=5.7138 c=5.7138 alpha=127.94 beta=127.85 gamma=76.80
Closest atoms and distances in Å follow each position.
Positions (direct):
Cr 0.2500 0.7500 0.5000  8 Ca 3.36, 4 Te 3.55
Ca 0.9997 0.9997 0.0000  4 Te 3.36-3.37, 4 Cr 3.36, 4 Ca 3.55
Ca 0.5003 0.5003 0.0000  4 Te 3.36-3.37, 4 Cr 3.36, 4 Ca 3.55
Te 0.7500 0.2500 0.5000  8 Ca 3.36-3.37, 4 Cr 3.55

---

# 9
The following is a PBE-GGA calculation of crystalline Pm3P2 at its relaxed geometry, from the Alexandria database.

Its calculated formation energy is -1.15 eV/atom. The theoretical density is 5.79 g cm⁻³. As for the total magnetic moment: 0.00 μB/f.u. Its total energy is -61.69 eV/cell.

Unit cell a=7.0152 b=7.0152 c=7.8150 alpha=63.33 beta=63.33 gamma=60.00
Closest atoms and distances in Å follow each position.
Positions (direct):
Pm 0.9240 0.2500 0.2500  4 P 2.84-2.89
Pm 0.2500 0.5760 0.2500  4 P 2.84-2.89
P 0.6619 0.6619 0.0143  6 Pm 2.84-2.89
P 0.1619 0.1619 0.5143  6 Pm 2.84-2.89
Pm 0.5760 0.9240 0.2500  4 P 2.84-2.89
Pm 0.4240 0.0760 0.7500  4 P 2.84-2.89
P 0.3381 0.3381 0.9857  6 Pm 2.84-2.89
P 0.8381 0.8381 0.4857  6 Pm 2.84-2.89
Pm 0.7500 0.4240 0.7500  4 P 2.84-2.89
Pm 0.0760 0.7500 0.7500  4 P 2.84-2.89

---

# 10
The following is a PBE-GGA calculation of crystalline ZrTaMn at its relaxed geometry, from the Alexandria database.

The value obtained for the energy above the most stable polymorph in this dataset is 415.2 meV per atom. Its calculated formation energy is 0.30 eV/atom. The theoretical density is 9.53 g cm⁻³. As for the total magnetic moment: 0.00 μB/f.u. Its total energy is -28.68 eV/cell.

Unit cell a=4.3193 b=4.3193 c=4.3193 alpha=60.00 beta=60.00 gamma=60.00
Closest atoms and distances in Å follow each position.
Positions (direct):
Zr 0.5000 0.5000 0.5000  4 Mn 2.65
Mn 0.2500 0.2500 0.2500  4 Zr 2.65, 4 Ta 2.65
Ta 0.0000 0.0000 0.0000  4 Mn 2.65

---

# 11
The following is a PBE-GGA calculation of crystalline TbHgF6 at its relaxed geometry, from the Alexandria database.

The raw formation energy comes out at -2.498 eV per atom. The theoretical density is 6.73 g cm⁻³. As for the total magnetic moment: 0.99 μB/f.u. Its total energy is -72.29 eV/cell.

Unit cell a=5.3587 b=6.7717 c=6.7717 alpha=107.99 beta=90.00 gamma=90.00
Closest atoms and distances in Å follow each position.
Positions (direct):
F 0.1412 0.8993 0.1007  1 Hg 2.33, 2 Tb 2.40
F 0.1412 0.6007 0.3993  1 Hg 2.33, 2 Tb 2.40
F 0.6981 0.0465 0.2998  1 Tb 2.22, 1 Hg 2.34, 1 F 2.45
F 0.8588 0.1007 0.8993  1 Hg 2.33, 2 Tb 2.40
F 0.3019 0.2002 0.4535  1 Tb 2.22, 1 Hg 2.34, 1 F 2.45
F 0.3019 0.5465 0.7998  1 Tb 2.22, 1 Hg 2.34, 1 F 2.45
Tb 0.0000 0.7500 0.7500  8 F 2.22-2.40
F 0.3019 0.9535 0.7002  1 Tb 2.22, 1 Hg 2.34, 1 F 2.45
Tb 0.0000 0.2500 0.2500  8 F 2.22-2.40
F 0.6981 0.4535 0.2002  1 Tb 2.22, 1 Hg 2.34, 1 F 2.45
F 0.8588 0.3993 0.6007  1 Hg 2.33, 2 Tb 2.40
Hg 0.4500 0.7500 0.2500  6 F 2.33-2.34
F 0.6981 0.7998 0.5465  1 Tb 2.22, 1 Hg 2.34, 1 F 2.45
Hg 0.5500 0.2500 0.7500  6 F 2.33-2.34
F 0.6981 0.7002 0.9535  1 Tb 2.22, 1 Hg 2.34, 1 F 2.45
F 0.3019 0.2998 0.0465  1 Tb 2.22, 1 Hg 2.34, 1 F 2.45